{
  "formula": "ReAsS",
  "functional": "PBE",
  "state": "relaxed",
  "sg": "No. 84",
  "formation_energy_uncorrected_ev_per_atom": 0.03,
  "total_energy_ev_per_cell": -84.57,
  "relative_energy_ev_per_atom": 0.0000,
  "magmom_total_mub_per_cell": 0.0,
  "cell": [[-1.2338, -2.5427, -1.4987], [7.8156, -2.7598, -1.7517], [0.0994, -4.3371, 7.2766]],
  "species": ["Re", "S", "As", "S", "S", "S", "As", "As", "Re", "Re", "Re", "As"],
  "fractional_positions": [[0.0000, 0.7448, 0.7414], [0.0000, 0.5339, 0.2501], [0.5000, 0.2480, 0.0328], [0.5000, 0.2501, 0.4661], [0.5000, 0.7499, 0.5339], [0.0000, 0.4661, 0.7499], [0.0000, 0.0328, 0.7520], [0.5000, 0.7520, 0.9672], [0.5000, 0.7414, 0.2552], [0.5000, 0.2586, 0.7448], [0.0000, 0.2552, 0.2586], [0.0000, 0.9672, 0.2480]]
}

{
  "formula": "Sc2Al5Co3",
  "functional": "PBE",
  "state": "relaxed",
  "sg": "No. 36",
  "total_energy_ev_per_cell": -114.92,
  "delta_e_f_ev_per_atom": -0.48,
  "magmom_total_mub_per_cell": 0.0,
  "cell": [[-1.4257, -3.7532, -0.0546], [4.3464, -1.7147, 4.3818], [-6.9161, 4.6487, 8.6795]],
  "species": ["Al", "Sc", "Al", "Co", "Co", "Sc", "Sc", "Al", "Al", "Co", "Sc", "Al", "Co", "Al", "Al", "Al", "Al", "Al", "Co", "Co"],
  "fractional_positions": [[0.0558, 0.6252, 0.1116], [0.5259, 0.2953, 0.0518], [0.9442, 0.1252, 0.8884], [0.9571, 0.5094, 0.9142], [0.2283, 0.1789, 0.4566], [0.8241, 0.1938, 0.6483], [0.4741, 0.7953, 0.9482], [0.1271, 0.2482, 0.2543], [0.2927, 0.8835, 0.5854], [0.7717, 0.6789, 0.5434], [0.1759, 0.6938, 0.3517], [0.7127, 0.9807, 0.4254], [0.6122, 0.5368, 0.2244], [0.2873, 0.4807, 0.5746], [0.7073, 0.3835, 0.4146], [0.4044, 0.4130, 0.8087], [0.8729, 0.7482, 0.7457], [0.5956, 0.9130, 0.1913], [0.0429, 0.0094, 0.0858], [0.3878, 0.0368, 0.7756]]
}

Q: Which formula does entry 2 have?
A: Sc2Al5Co3